Record 1
VASP calculation (SCAN) on a PBEsol-optimized structure of Li2MoIr2.

Cell lengths 2.794, 6.651, 6.651 Å; angles 90.00, 90.00, 90.00 degrees
Atoms (fractional coordinates):
1 Li 0.000 0.896 0.604
2 Li 0.000 0.104 0.396
3 Li 0.000 0.396 0.896
4 Li 0.000 0.604 0.104
5 Ir 0.500 0.804 0.304
6 Ir 0.500 0.696 0.804
7 Ir 0.500 0.304 0.196
8 Ir 0.500 0.196 0.696
9 Mo 0.000 0.000 0.000
10 Mo 0.000 0.500 0.500

Summary:
The value obtained for the formation energy is 3 kJ per mole of atoms. Its space-group type is P4/mbm, No. 127. The calculation puts the total energy at -36.345 eV per atom.

Record 2
VASP calculation (SCAN) on a PBEsol-optimized structure of ZnCo2Mo.

Cell lengths 2.643, 3.379, 5.354 Å; angles 90.00, 90.00, 90.00 degrees
Atoms (fractional coordinates):
1 Mo 0.500 0.500 0.000
2 Co 0.000 0.000 0.749
3 Co 0.000 0.000 0.251
4 Zn 0.500 0.500 0.500

Summary:
The value obtained for the formation energy is 16 kJ per mole of atoms. Its space-group type is Pmmm, No. 47. The calculation puts the total energy at -20.589 eV per atom.

Record 3
VASP calculation (SCAN) on a PBEsol-optimized structure of NiAgSe2.

Cell lengths 3.388, 4.438, 4.438 Å; angles 99.20, 90.00, 90.00 degrees
Atoms (fractional coordinates):
1 Ni 0.500 0.500 0.500
2 Ag 0.500 0.000 0.000
3 Se 0.000 0.000 0.500
4 Se 0.000 0.500 0.000

Summary:
Its space-group type is Cmmm, No. 65. The calculation puts the total energy at -21.542 eV per atom. The energy relative to the elements, uncorrected is 37 kJ per mole of atoms.

Record 4
VASP calculation (SCAN) on a PBEsol-optimized structure of Ti3InGa.

Cell lengths 4.657, 4.657, 4.657 Å; angles 90.00, 90.00, 90.00 degrees
Atoms (fractional coordinates):
1 Ti 0.000 0.500 0.000
2 Ti 0.500 0.000 0.000
3 Ti 0.000 0.000 0.500
4 In 0.500 0.500 0.500
5 Ga 0.000 0.000 0.000

Summary:
The value obtained for the formation energy is 22 kJ per mole of atoms. Its space-group type is Pm-3m, No. 221. The calculation puts the total energy at -19.341 eV per atom.

Record 5
VASP calculation (SCAN) on a PBEsol-optimized structure of Ca2Cu2Hg.

Cell lengths 3.958, 7.320, 7.320 Å; angles 90.00, 90.00, 90.00 degrees
Atoms (fractional coordinates):
1 Ca 0.500 0.320 0.180
2 Ca 0.500 0.820 0.320
3 Ca 0.500 0.680 0.820
4 Ca 0.500 0.180 0.680
5 Cu 0.000 0.384 0.884
6 Cu 0.000 0.616 0.116
7 Cu 0.000 0.884 0.616
8 Cu 0.000 0.116 0.384
9 Hg 0.000 0.000 0.000
10 Hg 0.000 0.500 0.500

Summary:
The value obtained for the formation energy is -25 kJ per mole of atoms. Its space-group type is P4/mbm, No. 127. The calculation puts the total energy at -23.834 eV per atom.

Record 6
VASP calculation (SCAN) on a PBEsol-optimized structure of MgZrN2O.

Cell lengths 3.657, 3.823, 3.823 Å; angles 90.00, 90.00, 90.00 degrees
Atoms (fractional coordinates):
1 Zr 0.500 0.500 0.500
2 N 0.000 0.500 0.000
3 N 0.000 0.000 0.500
4 O 0.500 0.000 0.000
5 Mg 0.000 0.000 0.000

Summary:
Its space-group type is P4/mmm, No. 123. The calculation puts the total energy at -12.558 eV per atom. The energy relative to the elements, uncorrected is -45 kJ per mole of atoms.

Record 7
VASP calculation (SCAN) on a PBEsol-optimized structure of FeTc2H2.

Cell lengths 2.909, 2.909, 5.653 Å; angles 104.91, 104.91, 90.00 degrees
Atoms (fractional coordinates):
1 H 0.250 0.750 0.500
2 H 0.750 0.250 0.500
3 Fe 0.000 0.000 0.000
4 Tc 0.640 0.640 0.280
5 Tc 0.360 0.360 0.720

Summary:
Its space-group type is I4/mmm, No. 139. The calculation puts the total energy at -18.931 eV per atom.

Record 8
VASP calculation (SCAN) on a PBEsol-optimized structure of BaNiRu2.

Cell lengths 2.933, 4.704, 4.984 Å; angles 90.00, 90.00, 90.00 degrees
Atoms (fractional coordinates):
1 Ni 0.000 0.500 0.500
2 Ba 0.500 0.000 0.500
3 Ru 0.500 0.500 0.000
4 Ru 0.000 0.000 0.000

Summary:
The value obtained for the formation energy is 111 kJ per mole of atoms. Its space-group type is Pmmm, No. 47. The calculation puts the total energy at -30.196 eV per atom.

Number 1: magnetization 0.00 μB per formula unit. Number 2: magnetization 0.00 μB per formula unit. Number 3: magnetization 0.00 μB per formula unit. Number 4: magnetization 0.00 μB per formula unit. Number 5: magnetization 0.00 μB per formula unit. Number 6: magnetization 1.98 μB per formula unit. Number 7: magnetization 2.39 μB per formula unit. Number 8: magnetization 2.73 μB per formula unit.